1.
Density functional theory data (PBE) for CaZr3Rh after structural relaxation.

```
data_CaZr3Rh
_cell_length_a 5.136
_cell_length_b 5.136
_cell_length_c 5.136
_cell_angle_alpha 90.00
_cell_angle_beta 90.00
_cell_angle_gamma 90.00
_symmetry_space_group_name_H-M 'P m -3 m'
_symmetry_Int_Tables_number 221
_symmetry_space_group_name_Hall '-P 4 2 3'
loop_
_atom_site_label
_atom_site_type_symbol
_atom_site_fract_x
_atom_site_fract_y
_atom_site_fract_z
Ca1 Ca 0.000 0.000 0.000
Zr1 Zr 0.000 0.500 0.500
Rh1 Rh 0.500 0.500 0.500
```

Computed properties:
DOS(E_F) in states/eV per atom: 1.38
VASP energy in eV per atom: -6.858
ΔE_f in eV per formula unit: 0.71

2.
Density functional theory data (PBE) for MnAlIn2 after structural relaxation.

```
data_MnAlIn2
_cell_length_a 9.410
_cell_length_b 3.286
_cell_length_c 5.390
_cell_angle_alpha 90.00
_cell_angle_beta 102.38
_cell_angle_gamma 90.00
_symmetry_space_group_name_H-M 'C 1 2/m 1'
_symmetry_Int_Tables_number 12
loop_
_symmetry_equiv_pos_as_xyz
'x,y,z'
'-x,-y,-z'
'-x,y,-z'
'x,-y,z'
'x+1/2,y+1/2,z'
'-x+1/2,-y+1/2,-z'
'-x+1/2,y+1/2,-z'
'x+1/2,-y+1/2,z'
loop_
_atom_site_label
_atom_site_type_symbol
_atom_site_fract_x
_atom_site_fract_y
_atom_site_fract_z
Mn1 Mn 0.000 0.000 0.000
Al1 Al 0.000 0.500 0.500
In1 In 0.248 0.500 0.244
```

Computed properties:
DOS(E_F) in states/eV per atom: 0.62
VASP energy in eV per atom: -4.334
ΔE_f in eV per formula unit: 1.05

3.
Density functional theory data (PBE) for K2AuC2 after structural relaxation.

```
data_K2AuC2
_cell_length_a 7.273
_cell_length_b 7.273
_cell_length_c 4.222
_cell_angle_alpha 90.00
_cell_angle_beta 90.00
_cell_angle_gamma 90.00
_symmetry_space_group_name_H-M 'P 4/m b m'
_symmetry_Int_Tables_number 127
_symmetry_space_group_name_Hall '-P 4 2ab'
loop_
_atom_site_label
_atom_site_type_symbol
_atom_site_fract_x
_atom_site_fract_y
_atom_site_fract_z
K1 K 0.211 0.289 0.000
Au1 Au 0.000 0.000 0.500
C1 C 0.062 0.562 0.500
```

Computed properties:
DOS(E_F) in states/eV per atom: 0.17
VASP energy in eV per atom: -4.220
ΔE_f in eV per formula unit: 2.82

4.
Density functional theory data (PBE) for BaInI3 after structural relaxation.

```
data_BaInI3
_cell_length_a 10.204
_cell_length_b 9.765
_cell_length_c 9.399
_cell_angle_alpha 90.00
_cell_angle_beta 95.97
_cell_angle_gamma 90.00
_symmetry_space_group_name_H-M 'P 1 21/c 1'
_symmetry_Int_Tables_number 14
loop_
_symmetry_equiv_pos_as_xyz
'x,y,z'
'-x,-y,-z'
'-x,y+1/2,-z+1/2'
'x,-y+1/2,z+1/2'
loop_
_atom_site_label
_atom_site_type_symbol
_atom_site_fract_x
_atom_site_fract_y
_atom_site_fract_z
Ba1 Ba 0.088 0.088 0.239
In1 In 0.456 0.727 0.498
I1 I 0.120 0.683 0.988
I2 I 0.197 0.100 0.887
I3 I 0.428 0.016 0.275
```

Computed properties:
DOS(E_F) in states/eV per atom: 0.00
Formation energy without anion corrections in meV per atom: -1241
VASP energy in eV per atom: -3.103

5.
Density functional theory data (PBE) for Zn4C after structural relaxation.

```
data_Zn4C
_cell_length_a 3.2255
_cell_length_b 3.2255
_cell_length_c 9.1182
_cell_angle_alpha 90.00
_cell_angle_beta 90.00
_cell_angle_gamma 120.00
_symmetry_space_group_name_H-M 'P -3 m 1'
_symmetry_Int_Tables_number 164
_symmetry_space_group_name_Hall '-P 3 2"'
loop_
_atom_site_label
_atom_site_type_symbol
_atom_site_fract_x
_atom_site_fract_y
_atom_site_fract_z
Zn1 Zn 0.3333 0.6667 0.1113
Zn2 Zn 0.3333 0.6667 0.3895
C1 C 0.0000 0.0000 0.5000
```

Computed properties:
DOS(E_F) in states/eV per atom: 0.33
VASP energy in eV per atom: -2.180
ΔE_f in eV per formula unit: 3.42

6.
Density functional theory data (PBE) for ThAlInPt3 after structural relaxation.

```
data_ThAlInPt3
_cell_length_a 7.107
_cell_length_b 12.346
_cell_length_c 5.818
_cell_angle_alpha 90.00
_cell_angle_beta 90.00
_cell_angle_gamma 90.00
_symmetry_space_group_name_H-M 'C m c m'
_symmetry_Int_Tables_number 63
_symmetry_space_group_name_Hall '-C 2c 2'
loop_
_atom_site_label
_atom_site_type_symbol
_atom_site_fract_x
_atom_site_fract_y
_atom_site_fract_z
Th1 Th 0.000 0.191 0.250
Al1 Al 0.000 0.121 0.750
In1 In 0.000 0.445 0.250
Pt1 Pt 0.000 0.316 0.750
Pt2 Pt 0.198 0.000 0.000
```

Computed properties:
DOS(E_F) in states/eV per atom: 0.46
VASP energy in eV per atom: -6.007
ΔE_f in eV per formula unit: -4.02

7.
Density functional theory data (PBE) for LiCo2BAsAu after structural relaxation.

```
data_LiCo2BAsAu
_cell_length_a 3.770
_cell_length_b 3.458
_cell_length_c 6.171
_cell_angle_alpha 90.00
_cell_angle_beta 95.74
_cell_angle_gamma 90.00
_symmetry_space_group_name_H-M 'P 1 m 1'
_symmetry_Int_Tables_number 6
loop_
_symmetry_equiv_pos_as_xyz
'x,y,z'
'x,-y,z'
loop_
_atom_site_label
_atom_site_type_symbol
_atom_site_fract_x
_atom_site_fract_y
_atom_site_fract_z
Li1 Li 0.000 0.000 0.000
Co1 Co 0.087 0.500 0.400
Co2 Co 0.604 0.000 0.437
B1 B 0.125 0.000 0.556
As1 As 0.552 0.500 0.187
Au1 Au 0.431 0.500 0.779
```

Computed properties:
DOS(E_F) in states/eV per atom: 0.28
VASP energy in eV per atom: -5.372
ΔE_f in eV per formula unit: -1.50

8.
Density functional theory data (PBE) for HoTh2Zn6 after structural relaxation.

```
data_HoTh2Zn6
_cell_length_a 7.8863
_cell_length_b 7.8863
_cell_length_c 3.5294
_cell_angle_alpha 90.00
_cell_angle_beta 90.00
_cell_angle_gamma 120.00
_symmetry_space_group_name_H-M 'P 6/m m m'
_symmetry_Int_Tables_number 191
_symmetry_space_group_name_Hall '-P 6 2'
loop_
_atom_site_label
_atom_site_type_symbol
_atom_site_fract_x
_atom_site_fract_y
_atom_site_fract_z
Ho1 Ho 0.0000 0.0000 0.0000
Th1 Th 0.3333 0.6667 0.0000
Zn1 Zn 0.0000 0.3286 0.5000
```

Computed properties:
DOS(E_F) in states/eV per atom: 1.14
VASP energy in eV per atom: -3.306
ΔE_f in eV per formula unit: -2.69

9.
Density functional theory data (PBE) for KReGe2Rh after structural relaxation.

```
data_KReGe2Rh
_cell_length_a 4.778
_cell_length_b 4.778
_cell_length_c 5.761
_cell_angle_alpha 90.00
_cell_angle_beta 90.00
_cell_angle_gamma 90.00
_symmetry_space_group_name_H-M 'P 4/m m m'
_symmetry_Int_Tables_number 123
_symmetry_space_group_name_Hall '-P 4 2'
loop_
_atom_site_label
_atom_site_type_symbol
_atom_site_fract_x
_atom_site_fract_y
_atom_site_fract_z
K1 K 0.000 0.000 0.000
Re1 Re 0.000 0.000 0.500
Ge1 Ge 0.000 0.500 0.500
Rh1 Rh 0.500 0.500 0.000
```

Computed properties:
DOS(E_F) in states/eV per atom: 2.41
VASP energy in eV per atom: -4.804
ΔE_f in eV per formula unit: 6.11

10.
Density functional theory data (PBE) for Mg4CuRh after structural relaxation.

```
data_Mg4CuRh
_cell_length_a 4.429
_cell_length_b 4.429
_cell_length_c 6.261
_cell_angle_alpha 90.00
_cell_angle_beta 90.00
_cell_angle_gamma 90.00
_symmetry_space_group_name_H-M 'P 4/m m m'
_symmetry_Int_Tables_number 123
_symmetry_space_group_name_Hall '-P 4 2'
loop_
_atom_site_label
_atom_site_type_symbol
_atom_site_fract_x
_atom_site_fract_y
_atom_site_fract_z
Mg1 Mg 0.000 0.500 0.241
Cu1 Cu 0.000 0.000 0.500
Rh1 Rh 0.500 0.500 0.000
```

Computed properties:
DOS(E_F) in states/eV per atom: 0.57
VASP energy in eV per atom: -3.064
ΔE_f in eV per formula unit: -0.56

11.
Density functional theory data (PBE) for LiCa2P after structural relaxation.

```
data_LiCa2P
_cell_length_a 7.279
_cell_length_b 4.198
_cell_length_c 8.736
_cell_angle_alpha 90.00
_cell_angle_beta 105.91
_cell_angle_gamma 90.00
_symmetry_space_group_name_H-M 'C 1 2/m 1'
_symmetry_Int_Tables_number 12
loop_
_symmetry_equiv_pos_as_xyz
'x,y,z'
'-x,-y,-z'
'-x,y,-z'
'x,-y,z'
'x+1/2,y+1/2,z'
'-x+1/2,-y+1/2,-z'
'-x+1/2,y+1/2,-z'
'x+1/2,-y+1/2,z'
loop_
_atom_site_label
_atom_site_type_symbol
_atom_site_fract_x
_atom_site_fract_y
_atom_site_fract_z
Li1 Li 0.000 0.000 0.000
Ca1 Ca 0.224 0.000 0.673
P1 P 0.000 0.500 0.500
```

Computed properties:
DOS(E_F) in states/eV per atom: 0.23
VASP energy in eV per atom: -3.401
ΔE_f in eV per formula unit: -2.28

12.
Density functional theory data (PBE) for TmMnSi3Os after structural relaxation.

```
data_TmMnSi3Os
_cell_length_a 7.566
_cell_length_b 10.573
_cell_length_c 5.360
_cell_angle_alpha 90.00
_cell_angle_beta 90.00
_cell_angle_gamma 90.00
_symmetry_space_group_name_H-M 'C m c m'
_symmetry_Int_Tables_number 63
_symmetry_space_group_name_Hall '-C 2c 2'
loop_
_atom_site_label
_atom_site_type_symbol
_atom_site_fract_x
_atom_site_fract_y
_atom_site_fract_z
Tm1 Tm 0.000 0.239 0.250
Mn1 Mn 0.000 0.044 0.750
Si1 Si 0.000 0.242 0.750
Si2 Si 0.239 0.000 0.000
Os1 Os 0.000 0.452 0.750
```

Computed properties:
DOS(E_F) in states/eV per atom: 0.33
Formation energy without anion corrections in meV per atom: -249
VASP energy in eV per atom: -7.106

Total magnetic moment? In order: 0.00, 7.43, 0.00, 0.00, 0.00, 0.00, 0.00, 0.00, 1.46, 0.00, 0.00, 0.00 μB/cell.